{"formula": "Ti2Be16Tc", "functional": "GGA-PBE", "state": "relaxed", "e_form_ev_per_atom": -0.1619, "volume_a3_per_fu": 177.7, "dos_ef_per_ev_atom": 0.3074, "total_energy_ry_per_atom": -0.3437, "lattice_angstrom": [[-5.2708, -1.2461, -1.6119], [-2.0225, -0.8518, 5.2073], [-2.0734, 5.2118, 0.6863]], "species": ["Be", "Be", "Be", "Be", "Be", "Be", "Be", "Be", "Be", "Be", "Be", "Be", "Be", "Be", "Be", "Be", "Tc", "Ti", "Ti"], "fractional_positions": [[0.2955, 0.9972, 0.6991], [0.9972, 0.6991, 0.2955], [0.9994, 0.4976, 0.9994], [0.3442, 0.3442, 0.8352], [0.1581, 0.6489, 0.6489], [0.2955, 0.6991, 0.9972], [0.6991, 0.9972, 0.2955], [0.3442, 0.8352, 0.3442], [0.8352, 0.3442, 0.3442], [0.6489, 0.6489, 0.1581], [0.9994, 0.9994, 0.4976], [0.6991, 0.2955, 0.9972], [0.6489, 0.1581, 0.6489], [0.1160, 0.1160, 0.1160], [0.9972, 0.2955, 0.6991], [0.4976, 0.9994, 0.9994], [0.9079, 0.9079, 0.9079], [0.6709, 0.6709, 0.6709], [0.3458, 0.3458, 0.3458]]}



{"formula": "Ti2Be2Tc", "functional": "GGA-PBE", "state": "relaxed", "e_form_ev_per_atom": -0.2413, "volume_a3_per_fu": 63.9, "dos_ef_per_ev_atom": 1.1509, "total_energy_ry_per_atom": -0.5118, "lattice_angstrom": [[6.2585, 0.0000, 0.0000], [0.0000, 6.2585, 0.0000], [0.0000, 0.0000, 3.2646]], "species": ["Ti", "Ti", "Ti", "Ti", "Tc", "Tc", "Be", "Be", "Be", "Be"], "fractional_positions": [[0.3177, 0.1823, 0.5000], [0.6823, 0.8177, 0.5000], [0.1823, 0.6823, 0.5000], [0.8177, 0.3177, 0.5000], [0.5000, 0.5000, 0.0000], [0.0000, 0.0000, 0.0000], [0.1169, 0.3831, 0.0000], [0.8831, 0.6169, 0.0000], [0.6169, 0.1169, 0.0000], [0.3831, 0.8831, 0.0000]]}



{"formula": "Ti4BeTc3", "functional": "GGA-PBE", "state": "relaxed", "e_form_ev_per_atom": -0.4151, "volume_a3_per_fu": 116.4, "dos_ef_per_ev_atom": 1.0971, "total_energy_ry_per_atom": -0.6406, "lattice_angstrom": [[3.1205, 0.0000, 0.0000], [0.0000, 3.1205, 0.0000], [0.0000, 0.0000, 11.9522]], "species": ["Ti", "Ti", "Ti", "Ti", "Tc", "Tc", "Tc", "Be"], "fractional_positions": [[0.0000, 0.0000, 0.6290], [0.0000, 0.0000, 0.8812], [0.0000, 0.0000, 0.1188], [0.0000, 0.0000, 0.3710], [0.5000, 0.5000, 0.5000], [0.5000, 0.5000, 0.7624], [0.5000, 0.5000, 0.2376], [0.5000, 0.5000, 0.0000]]}



{"formula": "TiBeVTc", "functional": "GGA-PBE", "state": "relaxed", "e_form_ev_per_atom": -0.2073, "volume_a3_per_fu": 53.5, "dos_ef_per_ev_atom": 0.3743, "total_energy_ry_per_atom": -0.5868, "lattice_angstrom": [[-2.5161, 3.3830, -0.3305], [-3.3052, 0.4392, 2.6014], [0.0539, 2.9768, 3.0034]], "species": ["Ti", "Tc", "V", "Be"], "fractional_positions": [[0.2500, 0.2500, 0.2500], [0.0000, 0.0000, 0.0000], [0.7500, 0.7500, 0.7500], [0.5000, 0.5000, 0.5000]]}



{"formula": "Y2TiBeTc", "functional": "GGA-PBE", "state": "relaxed", "e_form_ev_per_atom": 1.3244, "volume_a3_per_fu": 112.1, "dos_ef_per_ev_atom": 1.0267, "total_energy_ry_per_atom": -0.4159, "lattice_angstrom": [[5.1608, 0.0000, 0.0000], [0.0000, 4.2078, 0.0000], [0.0000, 0.0000, 5.1608]], "species": ["Ti", "Y", "Y", "Tc", "Be"], "fractional_positions": [[0.0000, 0.0000, 0.0000], [0.5000, 0.0000, 0.0000], [0.0000, 0.0000, 0.5000], [0.5000, 0.5000, 0.5000], [0.0000, 0.5000, 0.0000]]}



{"formula": "TiBeZn2Tc", "functional": "GGA-PBE", "state": "relaxed", "e_form_ev_per_atom": 1.5583, "volume_a3_per_fu": 92.9, "dos_ef_per_ev_atom": 0.8237, "total_energy_ry_per_atom": -0.2461, "lattice_angstrom": [[-4.6172, 0.4507, 0.5633], [-0.5149, 0.0044, -4.2237], [-0.4480, -4.6515, 0.0497]], "species": ["Tc", "Ti", "Zn", "Zn", "Be"], "fractional_positions": [[0.5000, 0.5000, 0.5000], [0.0000, 0.0000, 0.0000], [0.0000, 0.0000, 0.5000], [0.5000, 0.0000, 0.0000], [0.0000, 0.5000, 0.0000]]}



{"formula": "BeTl2Tc", "functional": "GGA-PBE", "state": "relaxed", "e_form_ev_per_atom": 1.0887, "volume_a3_per_fu": 78.0, "dos_ef_per_ev_atom": 0.6334, "total_energy_ry_per_atom": -0.2659, "lattice_angstrom": [[4.7955, 0.0000, 0.0000], [2.3978, 4.1531, 0.0000], [2.3978, 1.3844, 3.9155]], "species": ["Tc", "Be", "Tl", "Tl"], "fractional_positions": [[0.7500, 0.7500, 0.7500], [0.5000, 0.5000, 0.5000], [0.2500, 0.2500, 0.2500], [0.0000, 0.0000, 0.0000]]}



{"formula": "BeTl2Tc", "functional": "GGA-PBE", "state": "relaxed", "e_form_ev_per_atom": 0.9005, "volume_a3_per_fu": 78.2, "dos_ef_per_ev_atom": 0.6427, "total_energy_ry_per_atom": -0.2797, "lattice_angstrom": [[-2.3295, 0.6501, -5.0774], [0.3687, -5.3766, 1.6078], [-2.9701, -1.1211, 0.1880]], "species": ["Tl", "Tl", "Tc", "Be"], "fractional_positions": [[0.5000, 0.5000, 0.0000], [0.0000, 0.0000, 0.0000], [0.0000, 0.5000, 0.5000], [0.5000, 0.0000, 0.5000]]}